# 1
Entry from Alexandria via LeMat-Bulk: a relaxed Al2Ga2Fe crystal (GGA-PBE).

POSCAR file:
```
Al2Ga2Fe
1.0
6.442 0.000 0.000
0.000 6.442 0.000
0.000 0.000 3.845
Al Ga Fe
4 4 2
direct
0.151 0.349 0.000
0.349 0.849 0.000
0.651 0.151 0.000
0.849 0.651 0.000
0.159 0.659 0.500
0.341 0.159 0.500
0.659 0.841 0.500
0.841 0.341 0.500
0.000 0.000 0.000
0.500 0.500 0.000
```

## Properties
Energy of formation from the pure elements   0.19 eV/atom
Total magnetic moment   3.9 Bohr magnetons per cell
V   159.6 Å³/cell



# 2
Entry from Alexandria via LeMat-Bulk: a relaxed Ba2AsSe crystal (GGA-PBE).

POSCAR file:
```
Ba2AsSe
1.0
-2.063 2.135 8.476
2.063 -2.135 8.476
2.063 2.135 -8.476
Ba As Se
2 1 1
direct
0.000 0.000 0.000
0.739 0.239 0.500
0.398 0.398 0.000
0.153 0.653 0.500
```

## Properties
Total magnetic moment   0.0 Bohr magnetons per cell
Formation energy from raw total energies   -1.28 eV/atom
V   149.4 Å³/cell



# 3
Entry from Alexandria via LeMat-Bulk: a relaxed Sr2HgRh crystal (GGA-PBE).

POSCAR file:
```
Sr2HgRh
1.0
-4.231 4.231 3.287
4.231 -4.231 3.287
4.231 4.231 -3.287
Sr Hg Rh
4 2 2
direct
0.078 0.625 0.953
0.375 0.328 0.453
0.672 0.125 0.047
0.875 0.922 0.547
0.250 0.750 0.500
0.500 0.500 0.000
0.000 0.000 0.000
0.750 0.250 0.500
```

## Properties
Energy of formation from the pure elements   -0.07 eV/atom
Total magnetic moment   0.0 Bohr magnetons per cell
V   235.4 Å³/cell



# 4
Entry from Alexandria via LeMat-Bulk: a relaxed DyZn2Cu4 crystal (GGA-PBE).

POSCAR file:
```
DyZn2Cu4
1.0
-3.658 3.658 2.558
3.658 -3.658 2.558
3.658 3.658 -2.558
Dy Zn Cu
1 2 4
direct
0.000 0.000 0.000
0.250 0.750 0.500
0.750 0.250 0.500
0.276 0.500 0.776
0.500 0.276 0.776
0.500 0.724 0.224
0.724 0.500 0.224
```

## Properties
Energy of formation from the pure elements   0.28 eV/atom
Total magnetic moment   0.0 Bohr magnetons per cell
V   136.9 Å³/cell



# 5
Entry from Alexandria via LeMat-Bulk: a relaxed K2TmTiS4 crystal (GGA-PBE).

POSCAR file:
```
K2TmTiS4
1.0
-3.587 3.587 4.689
3.587 -3.587 4.689
3.587 3.587 -4.689
K Tm Ti S
2 1 1 4
direct
0.000 0.000 0.000
0.750 0.250 0.500
0.250 0.750 0.500
0.500 0.500 0.000
0.216 0.146 0.591
0.375 0.784 0.930
0.555 0.625 0.409
0.854 0.445 0.070
```

## Properties
Total magnetic moment   1.0 Bohr magnetons per cell
Formation energy from raw total energies   -1.41 eV/atom
V   241.3 Å³/cell



# 6
Entry from Alexandria via LeMat-Bulk: a relaxed BaReI3 crystal (GGA-PBE).

POSCAR file:
```
BaReI3
1.0
5.555 0.000 0.000
0.000 5.555 0.000
0.000 0.000 5.555
Ba Re I
1 1 3
direct
0.000 0.000 0.000
0.500 0.500 0.500
0.000 0.500 0.500
0.500 0.000 0.500
0.500 0.500 0.000
```

## Properties
Total magnetic moment   2.0 Bohr magnetons per cell
Formation energy from raw total energies   -0.04 eV/atom
V   171.4 Å³/cell



# 7
Entry from Alexandria via LeMat-Bulk: a relaxed HoLu2Mg crystal (GGA-PBE).

POSCAR file:
```
HoLu2Mg
1.0
0.000 3.835 3.835
3.835 0.000 3.835
3.835 3.835 0.000
Ho Lu Mg
1 2 1
direct
0.000 0.000 0.000
0.250 0.250 0.250
0.750 0.750 0.750
0.500 0.500 0.500
```

## Properties
Energy of formation from the pure elements   0.08 eV/atom
Total magnetic moment   0.0 Bohr magnetons per cell
V   112.8 Å³/cell



# 8
Entry from Alexandria via LeMat-Bulk: a relaxed LiNd5Ho4 crystal (GGA-PBE).

POSCAR file:
```
LiNd5Ho4
1.0
3.620 0.000 0.000
0.000 3.620 0.000
0.000 0.000 24.486
Li Nd Ho
1 5 4
direct
0.000 0.000 0.000
0.500 0.500 0.088
0.500 0.500 0.294
0.500 0.500 0.500
0.500 0.500 0.706
0.500 0.500 0.912
0.000 0.000 0.190
0.000 0.000 0.397
0.000 0.000 0.603
0.000 0.000 0.810
```

## Properties
Energy of formation from the pure elements   0.04 eV/atom
Total magnetic moment   0.0 Bohr magnetons per cell
V   320.9 Å³/cell



# 9
Entry from Alexandria via LeMat-Bulk: a relaxed Pa2TiSb crystal (GGA-PBE).

POSCAR file:
```
Pa2TiSb
1.0
4.332 0.000 0.000
0.000 4.332 0.000
0.000 0.000 4.774
Pa Ti Sb
2 1 1
direct
0.000 0.500 0.000
0.500 0.000 0.000
0.000 0.000 0.500
0.500 0.500 0.500
```

## Properties
Total magnetic moment   0.0 Bohr magnetons per cell
Formation energy from raw total energies   -0.26 eV/atom
V   89.6 Å³/cell



# 10
Entry from Alexandria via LeMat-Bulk: a relaxed CoReNi14 crystal (GGA-PBE).

POSCAR file:
```
CoReNi14
1.0
8.187 0.000 0.000
0.000 2.505 4.341
0.000 -2.505 4.341
Co Re Ni
1 1 14
direct
0.000 0.000 0.000
0.000 0.502 0.502
0.000 0.000 0.503
0.000 0.503 0.000
0.250 0.167 0.668
0.250 0.668 0.167
0.251 0.166 0.166
0.251 0.667 0.667
0.500 0.335 0.335
0.500 0.335 0.835
0.500 0.835 0.335
0.500 0.835 0.835
0.749 0.166 0.166
0.749 0.667 0.667
0.750 0.167 0.668
0.750 0.668 0.167
```

## Properties
Energy of formation from the pure elements   0.03 eV/atom
Total magnetic moment   7.8 Bohr magnetons per cell
V   178.1 Å³/cell



# 11
Entry from Alexandria via LeMat-Bulk: a relaxed CaH3 crystal (GGA-PBE).

POSCAR file:
```
CaH3
1.0
3.316 0.000 0.000
0.000 3.316 0.000
0.000 0.000 3.521
Ca H
1 3
direct
0.000 0.000 0.000
0.000 0.500 0.500
0.500 0.000 0.500
0.500 0.500 0.999
```

## Properties
Total magnetic moment   0.0 Bohr magnetons per cell
V   38.7 Å³/cell
Calculated total energy   -2.9037 eV per atom



# 12
Entry from Alexandria via LeMat-Bulk: a relaxed LaFe2Au3 crystal (GGA-PBE).

POSCAR file:
```
LaFe2Au3
1.0
2.760 -4.778 0.000
2.760 4.778 0.000
0.000 0.000 4.392
La Fe Au
1 2 3
direct
0.000 0.000 0.000
0.334 0.666 0.000
0.666 0.334 0.000
0.000 0.500 0.500
0.500 0.000 0.500
0.500 0.500 0.500
```

## Properties
Energy of formation from the pure elements   -0.11 eV/atom
Total magnetic moment   4.8 Bohr magnetons per cell
V   115.9 Å³/cell